Compound: Pm3DySn2C
Source: Alexandria
Functional: GGA-PBE
Structure: relaxed

Lattice parameters (Å, degrees): 4.844 4.944 16.413 90.00 90.00 90.00
Fractional coordinates of all 14 atoms:
Pm 0.000 0.000 0.000
Pm 0.000 0.500 0.161
Pm 0.000 0.500 0.839
Pm 0.500 0.000 0.339
Pm 0.500 0.000 0.661
Pm 0.500 0.500 0.500
Dy 0.000 0.000 0.500
Dy 0.500 0.500 0.000
Sn 0.000 0.500 0.362
Sn 0.000 0.500 0.638
Sn 0.500 0.000 0.138
Sn 0.500 0.000 0.862
C 0.000 0.500 0.000
C 0.500 0.000 0.500

Results
E_form, kJ/mol of atoms: -59.8